Run A
A relaxed SrEu2Cu crystal, computed with PBE.

Structure (POSCAR):
```
SrEu2Cu
1.0
3.7965 0.0000 0.0000
0.0000 3.7965 0.0000
0.0000 0.0000 9.8063
Sr Eu Cu
1 2 1
Direct
0.0000 0.0000 0.0000 Sr
0.5000 0.5000 0.3250 Eu
0.5000 0.5000 0.6750 Eu
0.0000 0.0000 0.5000 Cu
```

Results
The symmetry is P4/mmm, No. 123. The value obtained for the calculated density is 5.35 g/cm³.



Run B
A relaxed SrEu2Cu crystal, computed with PBE.

Structure (POSCAR):
```
SrEu2Cu
1.0
4.2457 0.0000 0.0000
-2.1229 3.6769 0.0000
0.0000 0.0000 30.8161
Sr Eu Cu
3 6 3
Direct
0.0000 0.0000 0.0000 Sr
0.3333 0.6667 0.6667 Sr
0.6667 0.3333 0.3333 Sr
0.0000 0.0000 0.2214 Eu
0.0000 0.0000 0.7786 Eu
0.3333 0.6667 0.4453 Eu
0.3333 0.6667 0.8881 Eu
0.6667 0.3333 0.1119 Eu
0.6667 0.3333 0.5547 Eu
0.0000 0.0000 0.5000 Cu
0.3333 0.6667 0.1667 Cu
0.6667 0.3333 0.8333 Cu
```

Results
The symmetry is R-3m, No. 166. The value obtained for the calculated density is 4.71 g/cm³.



In terms of stability, run A leads; the second structure lies 43 meV per atom higher.



Run A
A relaxed Sr2EuCu crystal, computed with PBE.

Structure (POSCAR):
```
Sr2EuCu
1.0
3.8678 0.0000 0.0000
0.0000 3.8678 0.0000
0.0000 0.0000 10.0391
Sr Eu Cu
2 1 1
Direct
0.0000 0.0000 0.1821 Sr
0.0000 0.0000 0.8179 Sr
0.5000 0.5000 0.5000 Eu
0.5000 0.5000 0.0000 Cu
```

Results
The symmetry is P4/mmm, No. 123. The value obtained for the calculated density is 4.32 g/cm³.



Run B
A relaxed Sr2EuCu crystal, computed with PBE.

Structure (POSCAR):
```
Sr2EuCu
1.0
4.2075 0.0000 0.0000
-2.1037 3.6438 0.0000
0.0000 0.0000 34.7383
Sr Eu Cu
6 3 3
Direct
0.0000 0.0000 0.1137 Sr
0.0000 0.0000 0.8863 Sr
0.3333 0.6667 0.5529 Sr
0.3333 0.6667 0.7804 Sr
0.6667 0.3333 0.2196 Sr
0.6667 0.3333 0.4471 Sr
0.0000 0.0000 0.0000 Eu
0.3333 0.6667 0.6667 Eu
0.6667 0.3333 0.3333 Eu
0.0000 0.0000 0.5000 Cu
0.3333 0.6667 0.1667 Cu
0.6667 0.3333 0.8333 Cu
```

Results
The symmetry is R-3m, No. 166. The value obtained for the calculated density is 3.65 g/cm³.



In terms of stability, run A leads; the second structure lies 141 meV per atom higher.



Run A
A relaxed Tb2EuCu crystal, computed with PBE.

Structure (POSCAR):
```
Tb2EuCu
1.0
3.7079 0.0000 0.0000
-1.8539 3.2111 0.0000
0.0000 0.0000 30.4107
Tb Eu Cu
6 3 3
Direct
0.0000 0.0000 0.2298 Tb
0.0000 0.0000 0.7702 Tb
0.3333 0.6667 0.4369 Tb
0.3333 0.6667 0.8964 Tb
0.6667 0.3333 0.1036 Tb
0.6667 0.3333 0.5631 Tb
0.0000 0.0000 0.0000 Eu
0.3333 0.6667 0.6667 Eu
0.6667 0.3333 0.3333 Eu
0.0000 0.0000 0.5000 Cu
0.3333 0.6667 0.1667 Cu
0.6667 0.3333 0.8333 Cu
```

Results
The symmetry is R-3m, No. 166. The value obtained for the calculated density is 7.34 g/cm³.



Run B
A relaxed Tb2EuCu crystal, computed with PBE.

Structure (POSCAR):
```
Tb2EuCu
1.0
3.5535 0.0000 0.0000
0.0000 3.5535 0.0000
0.0000 0.0000 9.0579
Tb Eu Cu
2 1 1
Direct
0.0000 0.0000 0.1837 Tb
0.0000 0.0000 0.8163 Tb
0.5000 0.5000 0.5000 Eu
0.5000 0.5000 0.0000 Cu
```

Results
The symmetry is P4/mmm, No. 123. The value obtained for the calculated density is 7.74 g/cm³.



In terms of stability, run B leads; the second structure lies 114 meV per atom higher.



Run A
A relaxed TbEuCu2 crystal, computed with PBE.

Structure (POSCAR):
```
TbEuCu2
1.0
7.0899 0.0000 0.0000
0.0000 7.0899 0.0000
0.0000 0.0000 7.0899
Tb Eu Cu
4 4 8
Direct
0.0000 0.0000 0.0000 Tb
0.0000 0.5000 0.5000 Tb
0.5000 0.0000 0.5000 Tb
0.5000 0.5000 0.0000 Tb
0.0000 0.0000 0.5000 Eu
0.0000 0.5000 0.0000 Eu
0.5000 0.0000 0.0000 Eu
0.5000 0.5000 0.5000 Eu
0.2500 0.2500 0.2500 Cu
0.2500 0.2500 0.7500 Cu
0.2500 0.7500 0.2500 Cu
0.2500 0.7500 0.7500 Cu
0.7500 0.2500 0.2500 Cu
0.7500 0.2500 0.7500 Cu
0.7500 0.7500 0.2500 Cu
0.7500 0.7500 0.7500 Cu
```

Results
The symmetry is Fm-3m, No. 225. The value obtained for the calculated density is 8.16 g/cm³.



Run B
A relaxed TbEuCu2 crystal, computed with PBE.

Structure (POSCAR):
```
TbEuCu2
1.0
3.5671 0.0000 0.0000
0.0000 3.5671 0.0000
0.0000 0.0000 7.1276
Tb Eu Cu
1 1 2
Direct
0.0000 0.0000 0.0000 Tb
0.0000 0.0000 0.5000 Eu
0.5000 0.5000 0.2118 Cu
0.5000 0.5000 0.7882 Cu
```

Results
The symmetry is P4/mmm, No. 123. The value obtained for the calculated density is 8.02 g/cm³.



In terms of stability, run B leads; the second structure lies 42 meV per atom higher.